Entry 1:
VASP calculation (GGA-PBE) on Nd6GeP3S2 after structural relaxation.

* total magnetization: 0.0 μB/f.u.
* raw formation energy: -1627 meV per atom
* Fermi-level density of states: 0.2098 states/eV/atom

Lattice parameters (Å, degrees): 9.311 9.311 8.342 102.91 102.91 25.79
Element x y z (fractional)
Nd 0.000 0.000 0.245
Nd 0.000 0.000 0.755
Nd 0.332 0.332 0.420
Nd 0.335 0.335 0.912
Nd 0.665 0.665 0.088
Nd 0.668 0.668 0.580
Ge 0.500 0.500 0.500
P 0.168 0.168 0.332
P 0.500 0.500 0.000
P 0.832 0.832 0.668
S 0.169 0.169 0.837
S 0.831 0.831 0.163

---

Entry 2:
VASP calculation (GGA-PBE) on Tm6P2Se3S after structural relaxation.

* total magnetization: 0.0 μB/f.u.
* raw formation energy: -1773 meV per atom
* Fermi-level density of states: 0.3387 states/eV/atom

Lattice parameters (Å, degrees): 8.921 8.921 7.986 104.08 104.08 25.55
Element x y z (fractional)
Tm 0.007 0.007 0.239
Tm 0.327 0.327 0.430
Tm 0.337 0.337 0.901
Tm 0.663 0.663 0.099
Tm 0.673 0.673 0.570
Tm 0.993 0.993 0.761
P 0.166 0.166 0.332
P 0.834 0.834 0.668
Se 0.165 0.165 0.833
Se 0.500 0.500 0.500
Se 0.835 0.835 0.167
S 0.500 0.500 0.000

---

Entry 3:
VASP calculation (GGA-PBE) on K2CdI2 after structural relaxation.

* total magnetization: 0.0 μB/f.u.
* relative energy among the computed polymorphs: 0.0500 eV/atom
* raw formation energy: -949 meV per atom
* Fermi-level density of states: 0.0000 states/eV/atom

Lattice parameters (Å, degrees): 6.599 6.599 13.474 90.00 90.00 90.00
Element x y z (fractional)
K 0.000 0.500 0.250
K 0.000 0.500 0.750
K 0.500 0.000 0.250
K 0.500 0.000 0.750
Cd 0.000 0.000 0.000
Cd 0.500 0.500 0.500
I 0.000 0.000 0.325
I 0.000 0.000 0.675
I 0.500 0.500 0.175
I 0.500 0.500 0.825

---

Entry 4:
VASP calculation (GGA-PBE) on AlGa2Bi2 after structural relaxation.

* total magnetization: 0.0 μB/f.u.
* relative energy among the computed polymorphs: 0.0197 eV/atom
* formation energy: 240 meV/atom
* Fermi-level density of states: 0.4203 states/eV/atom

Lattice parameters (Å, degrees): 8.775 8.775 3.438 90.00 90.00 90.00
Element x y z (fractional)
Al 0.000 0.000 0.000
Al 0.500 0.500 0.000
Ga 0.117 0.383 0.500
Ga 0.383 0.883 0.500
Ga 0.617 0.117 0.500
Ga 0.883 0.617 0.500
Bi 0.181 0.681 0.000
Bi 0.319 0.181 0.000
Bi 0.681 0.819 0.000
Bi 0.819 0.319 0.000